# CdAsN2, relaxed, DFT PBE-GGA
# E_form (uncorrected) = 0.63 eV per atom
data_CdAsN2
_chemical_formula_sum 'Cd1 As1 N2'
_cell_length_a 6.9659
_cell_length_b 6.9659
_cell_length_c 6.9659
_cell_angle_alpha 24.80
_cell_angle_beta 24.80
_cell_angle_gamma 24.80
_space_group_name_H-M_alt 'P 1'
_space_group_IT_number 1
loop_
_space_group_symop_operation_xyz
'x,y,z'
loop_
_atom_site_label
_atom_site_fract_x
_atom_site_fract_y
_atom_site_fract_z
As1 0.5000 0.5000 0.5000
N1 0.8839 0.8839 0.8839
N2 0.1161 0.1161 0.1161
Cd1 0.0000 0.0000 0.0000